4
Lattice="3.434 0.000 0.000 0.000 3.434 0.000 0.000 0.000 10.477" Properties=species:S:1:pos:R:3 comment="YSb, optimized geometry, DFT PBE" crystal_system=tetragonal e_form_raw_ev_per_fu=-0.66 dft_energy_ev_per_atom=-5.623 space_group="P4/nmm (129)" pbc="T T T"
Sb 0.859 0.859 1.638
Sb 2.576 2.576 8.839
Y 0.859 0.859 6.714
Y 2.576 2.576 3.763